Crystalline Ca3HPt at its relaxed geometry. Source: Alexandria via LeMat-Bulk, functional PBE-GGA.

Cell: 4.738 4.738 4.738 Å, 90.00 90.00 90.00°
Atoms (fractional coordinates):
Ca1 0.000 0.000 0.500
Ca2 0.000 0.500 0.000
Ca3 0.500 0.000 0.000
H1 0.000 0.000 0.000
Pt1 0.500 0.500 0.500

DFT total energy: -0.2599 Ry per atom
Spin magnetization: 0.00 μB per formula unit
D(E_F): 1.4 states/eV/f.u.

Crystalline Dy4SiSbSe2 at its relaxed geometry. Source: Alexandria via LeMat-Bulk, functional PBE-GGA.

Cell: 7.221 4.179 7.287 Å, 90.00 109.43 90.00°
Atoms (fractional coordinates):
Dy1 0.241 0.000 0.235
Dy2 0.248 0.500 0.764
Dy3 0.752 0.500 0.236
Dy4 0.759 0.000 0.765
Si1 0.000 0.500 0.000
Sb1 0.000 0.000 0.500
Se1 0.500 0.000 0.000
Se2 0.500 0.500 0.500

Energy relative to the elements, uncorrected: -134 kJ per mole of atoms
Spin magnetization: 0.00 μB per formula unit
D(E_F): 1.4 states/eV/f.u.

Crystalline Tm8As3PSe4 at its relaxed geometry. Source: Alexandria via LeMat-Bulk, functional PBE-GGA.

Cell: 8.084 8.084 8.084 Å, 59.69 59.69 59.69°
Atoms (fractional coordinates):
Tm1 0.246 0.246 0.246
Tm2 0.251 0.741 0.741
Tm3 0.259 0.259 0.749
Tm4 0.259 0.749 0.259
Tm5 0.741 0.251 0.741
Tm6 0.741 0.741 0.251
Tm7 0.749 0.259 0.259
Tm8 0.754 0.754 0.754
As1 0.000 0.000 0.500
As2 0.000 0.500 0.000
As3 0.500 0.000 0.000
P1 0.500 0.500 0.500
Se1 0.000 0.000 0.000
Se2 0.000 0.500 0.500
Se3 0.500 0.000 0.500
Se4 0.500 0.500 0.000

Energy relative to the elements, uncorrected: -161 kJ per mole of atoms
Spin magnetization: 0.00 μB per formula unit
D(E_F): 5.8 states/eV/f.u.